No. 1
22
Lattice="-3.540 1.929 -1.867 -2.330 -2.885 6.723 5.445 20.215 10.563" Properties=species:S:1:pos:R:3 comment="CsHo4Te6 (PBE-GGA, optimized geometry)" e_form_raw_mev_per_atom=-1314 dos_ef_per_ev_fu=2.3 spacegroup="Cmcm, No. 63" pbc="T T T"
Cs 1.319 13.866 11.826
Ho 1.416 8.826 6.436
Te 1.279 10.870 8.807
Te -1.770 0.965 -0.934
Te -1.704 8.388 6.612
Te -3.539 1.575 3.052
Ho -1.841 10.432 8.983
Ho 2.206 18.219 9.357
Te -1.611 3.661 6.838
Te 0.953 11.072 4.348
Ho -0.894 0.250 1.954
Te 1.580 6.929 4.164
Te 0.487 2.871 2.044
Ho 0.469 19.009 13.465
Te -2.005 12.330 11.255
Ho -2.631 1.040 6.062
Ho 0.884 13.312 6.792
Cs -1.744 5.393 3.593
Te 3.114 17.684 12.368
Ho -1.309 5.947 8.627
Te 1.186 15.597 8.581
Te -0.912 16.387 13.375

***

No. 2
9
Lattice="-3.821 -2.515 2.291 3.512 -9.057 -0.153 4.692 -3.760 7.631" Properties=species:S:1:pos:R:3 comment="Cs2HoTe6 (PBE-GGA, optimized geometry)" e_form_raw_mev_per_atom=-704 dos_ef_per_ev_fu=4.5 spacegroup="C2/m, No. 12" pbc="T T T"
Cs 0.983 -5.248 3.422
Te -0.243 -4.942 7.253
Cs 3.400 -10.085 6.348
Te 4.626 -10.391 2.516
Ho 0.000 0.000 0.000
Te 2.548 -6.067 7.235
Te 1.835 -9.266 2.534
Te 5.412 -6.862 7.703
Te -1.029 -8.471 2.067

***

Number 1 is which compound?
CsHo4Te6